Record 1
This record from Alexandria via LeMat-Bulk describes a crystal of KLiP2O6 relaxed with PBEsol. The functional is meta-GGA SCAN.

Summary:
Uncorrected energy   -94.2 eV per formula unit
Magnetization   0.0 μB/f.u.

Lattice parameters (Å, degrees): 13.695 13.862 11.831 90.00 90.47 90.00
Space group C2/c (No. 15)
Unique sites:
K 0.126 0.126 0.471 x8
K 0.155 0.377 0.043 x8
Li 0.069 0.187 0.934 x8
Li 0.193 0.420 0.373 x8
P 0.000 0.037 0.750 x4
P 0.000 0.480 0.250 x4
P 0.079 0.369 0.598 x8
P 0.150 0.096 0.165 x8
P 0.208 0.259 0.749 x8
O 0.002 0.449 0.642 x8
O 0.003 0.088 0.639 x8
O 0.020 0.294 0.539 x8
O 0.081 0.149 0.089 x8
O 0.092 0.036 0.260 x8
O 0.095 0.426 0.258 x8
O 0.119 0.330 0.719 x8
O 0.160 0.418 0.535 x8
O 0.193 0.228 0.869 x8
O 0.198 0.170 0.256 x8
O 0.223 0.189 0.656 x8
O 0.227 0.034 0.112 x8

Record 2
This record from Alexandria via LeMat-Bulk describes a crystal of NaCa2LaBr relaxed with PBEsol. The functional is meta-GGA SCAN.

Summary:
Uncorrected energy   -85.5 eV per formula unit
Magnetization   0.1 μB/f.u.

Lattice parameters (Å, degrees): 6.343 6.343 4.974 90.00 90.00 90.00
Space group P4/mmm (No. 123)
Unique sites:
Na 0.000 0.000 0.000 x1
Ca 0.000 0.500 0.000 x2
La 0.500 0.500 0.500 x1
Br 0.000 0.000 0.500 x1

Record 3
This record from Alexandria via LeMat-Bulk describes a crystal of TlW3 relaxed with PBEsol. The functional is meta-GGA SCAN.

Summary:
Energy of formation   0.76 eV/atom
Uncorrected energy   -278.4 eV per formula unit
Magnetization   0.0 μB/f.u.

Lattice parameters (Å, degrees): 3.017 3.940 5.858 90.00 90.00 90.00
Space group Pmmm (No. 47)
Unique sites:
Tl 0.000 0.000 0.000 x1
W 0.000 0.000 0.500 x1
W 0.500 0.500 0.288 x2

Record 4
This record from Alexandria via LeMat-Bulk describes a crystal of ZrHg2MoPd relaxed with PBEsol. The functional is meta-GGA SCAN.

Summary:
Energy of formation   0.94 eV/atom
Uncorrected energy   -230.0 eV per formula unit
Magnetization   0.0 μB/f.u.

Lattice parameters (Å, degrees): 5.154 5.154 4.671 90.00 90.00 90.00
Space group P4/mmm (No. 123)
Unique sites:
Zr 0.000 0.000 0.000 x1
Hg 0.000 0.500 0.500 x2
Mo 0.000 0.000 0.500 x1
Pd 0.500 0.500 0.000 x1

Record 5
This record from Alexandria via LeMat-Bulk describes a crystal of LiHf2TlTc relaxed with PBEsol. The functional is meta-GGA SCAN.

Summary:
Energy of formation   0.44 eV/atom
Uncorrected energy   -233.0 eV per formula unit
Magnetization   0.0 μB/f.u.

Lattice parameters (Å, degrees): 4.903 4.903 5.295 90.00 90.00 90.00
Space group P4/mmm (No. 123)
Unique sites:
Li 0.000 0.000 0.000 x1
Hf 0.000 0.500 0.500 x2
Tl 0.500 0.500 0.000 x1
Tc 0.500 0.500 0.500 x1

Record 6
This record from Alexandria via LeMat-Bulk describes a crystal of CdAs2Ru relaxed with PBEsol. The functional is meta-GGA SCAN.

Summary:
Energy of formation   0.05 eV/atom
Uncorrected energy   -105.4 eV per formula unit
Magnetization   0.0 μB/f.u.

Lattice parameters (Å, degrees): 2.977 2.977 7.958 90.00 90.00 90.00
Space group P4mm (No. 99)
Unique sites:
Cd 0.000 0.000 0.000 x1
As 0.000 0.000 0.410 x1
As 0.500 0.500 0.723 x1
Ru 0.500 0.500 0.249 x1

Record 7
This record from Alexandria via LeMat-Bulk describes a crystal of Na2YAuI relaxed with PBEsol. The functional is meta-GGA SCAN.

Summary:
Uncorrected energy   -140.9 eV per formula unit
Magnetization   1.0 μB/f.u.

Lattice parameters (Å, degrees): 5.246 5.246 6.667 90.00 90.00 90.00
Space group P4/mmm (No. 123)
Unique sites:
Na 0.000 0.500 0.000 x2
Y 0.000 0.000 0.500 x1
Au 0.500 0.500 0.500 x1
I 0.500 0.500 0.000 x1

Record 8
This record from Alexandria via LeMat-Bulk describes a crystal of K2InGe relaxed with PBEsol. The functional is meta-GGA SCAN.

Summary:
Energy of formation   0.19 eV/atom
Uncorrected energy   -68.4 eV per formula unit
Magnetization   0.0 μB/f.u.

Lattice parameters (Å, degrees): 7.963 7.963 7.963 90.00 90.00 90.00
Space group Fm-3m (No. 225)
Unique sites:
K 0.250 0.250 0.250 x8
In 0.000 0.000 0.000 x4
Ge 0.000 0.000 0.500 x4

Record 9
This record from Alexandria via LeMat-Bulk describes a crystal of ScGaF3 relaxed with PBEsol. The functional is meta-GGA SCAN.

Summary:
Uncorrected energy   -55.1 eV per formula unit
Magnetization   0.6 μB/f.u.

Lattice parameters (Å, degrees): 4.185 4.185 4.185 90.00 90.00 90.00
Space group Pm-3m (No. 221)
Unique sites:
Sc 0.000 0.000 0.000 x1
Ga 0.500 0.500 0.500 x1
F 0.000 0.000 0.500 x3

Record 10
This record from Alexandria via LeMat-Bulk describes a crystal of Pr11In9Ni4 relaxed with PBEsol. The functional is meta-GGA SCAN.

Summary:
Energy of formation   -0.59 eV/atom
Uncorrected energy   -856.0 eV per formula unit
Magnetization   0.0 μB/f.u.

Lattice parameters (Å, degrees): 14.696 22.000 3.741 90.00 90.00 90.00
Space group Cmmm (No. 65)
Unique sites:
Pr 0.000 0.000 0.000 x2
Pr 0.000 0.162 0.000 x4
Pr 0.000 0.375 0.000 x4
Pr 0.187 0.500 0.000 x4
Pr 0.247 0.170 0.000 x8
In 0.000 0.500 0.500 x2
In 0.102 0.265 0.500 x8
In 0.151 0.069 0.500 x8
Ni 0.153 0.399 0.500 x8

Record 11
This record from Alexandria via LeMat-Bulk describes a crystal of CaFeI2O relaxed with PBEsol. The functional is meta-GGA SCAN.

Summary:
Polymorph energy (0 for the lowest one)   0.000 eV per atom
Uncorrected energy   -112.8 eV per formula unit
Magnetization   3.8 μB/f.u.

Lattice parameters (Å, degrees): 5.568 5.568 3.706 90.00 90.00 90.00
Space group P4/mmm (No. 123)
Unique sites:
Ca 0.000 0.000 0.000 x1
Fe 0.500 0.500 0.500 x1
I 0.000 0.500 0.500 x2
O 0.500 0.500 0.000 x1

Record 12
This record from Alexandria via LeMat-Bulk describes a crystal of SrIn2BBr relaxed with PBEsol. The functional is meta-GGA SCAN.

Summary:
Uncorrected energy   -112.3 eV per formula unit
Magnetization   0.0 μB/f.u.

Lattice parameters (Å, degrees): 5.810 5.810 4.315 90.00 90.00 90.00
Space group P4/mmm (No. 123)
Unique sites:
Sr 0.000 0.000 0.000 x1
In 0.000 0.500 0.500 x2
B 0.500 0.500 0.000 x1
Br 0.500 0.500 0.500 x1

Q: Look up the magnetization of the ninth one.
A: 0.6 μB/f.u.